Entry 1:
Entry from Alexandria via LeMat-Bulk: Pa2CoTe after structural relaxation (GGA-PBE).

a = 3.9214 Å, b = 3.9214 Å, c = 7.7817 Å
α = 75.41°, β = 75.41°, γ = 60.00°
Last column: magnetic moment on the atom in μB.
Fractional coordinates of all 4 atoms:
Te  0.4993  0.4993  0.5022  -0.01
Pa  0.0627  0.0627  0.8119  0.30
Pa  0.2699  0.2699  0.1903  0.36
Co  0.6681  0.6681  0.9956  -0.04

Energy relative to the elements, uncorrected: -0.457 eV per atom
Final energy: -0.2854 Ha/atom
Distance to the lowest polymorph of the same formula: 0.033 eV/atom



Entry 2:
Entry from Alexandria via LeMat-Bulk: CeGdTeI after structural relaxation (GGA-PBE).

a = 5.4366 Å, b = 5.4366 Å, c = 5.4366 Å
α = 60.00°, β = 60.00°, γ = 60.00°
Last column: magnetic moment on the atom in μB.
Fractional coordinates of all 4 atoms:
I  0.7500  0.7500  0.7500  -0.01
Gd  0.5000  0.5000  0.5000  7.11
Te  0.2500  0.2500  0.2500  -0.01
Ce  0.0000  0.0000  0.0000  -0.83

Energy relative to the elements, uncorrected: -0.976 eV per atom
Final energy: -0.2629 Ha/atom



Entry 3:
Entry from Alexandria via LeMat-Bulk: NpSnP2Rh4 after structural relaxation (GGA-PBE).

a = 4.0669 Å, b = 4.0669 Å, c = 8.2422 Å
α = 90.00°, β = 90.00°, γ = 90.00°
Last column: magnetic moment on the atom in μB.
Fractional coordinates of all 8 atoms:
Rh  0.0000  0.5000  0.2169  0.01
P  0.5000  0.5000  0.6423  -0.02
Np  0.0000  0.0000  0.5000  3.69
P  0.5000  0.5000  0.3577  -0.02
Rh  0.0000  0.5000  0.7831  0.01
Rh  0.5000  0.0000  0.7831  0.01
Rh  0.5000  0.0000  0.2169  0.01
Sn  0.0000  0.0000  0.0000  0.01

Final energy: -0.2859 Ha/atom



Entry 4:
Entry from Alexandria via LeMat-Bulk: InP after structural relaxation (GGA-PBE).

a = 3.3468 Å, b = 3.3468 Å, c = 27.4338 Å
α = 90.00°, β = 90.00°, γ = 120.00°
Fractional coordinates of all 12 atoms:
P  0.6667  0.3333  0.3566
P  0.6667  0.3333  0.0226
In  0.6667  0.3333  0.7808
In  0.6667  0.3333  0.5512
In  0.3333  0.6667  0.2192
In  0.0000  0.0000  0.1162
P  0.3333  0.6667  0.6434
In  0.0000  0.0000  0.8838
P  0.0000  0.0000  0.3114
P  0.3333  0.6667  0.9774
P  0.0000  0.0000  0.6886
In  0.3333  0.6667  0.4488

Final energy: -0.1474 Ha/atom



Entry 5:
Entry from Alexandria via LeMat-Bulk: MgBeSb2 after structural relaxation (GGA-PBE).

a = 5.3811 Å, b = 5.3811 Å, c = 5.3811 Å
α = 138.35°, β = 118.66°, γ = 76.89°
Fractional coordinates of all 4 atoms:
Sb  0.9517  0.9517  0.0000
Be  0.7500  0.2500  0.5000
Mg  0.2500  0.7500  0.5000
Sb  0.5483  0.5483  0.0000

Energy relative to the elements, uncorrected: 0.210 eV per atom
Final energy: -0.1169 Ha/atom
Distance to the lowest polymorph of the same formula: 0.124 eV/atom



Entry 6:
Entry from Alexandria via LeMat-Bulk: Ta3InCu after structural relaxation (GGA-PBE).

a = 4.6709 Å, b = 4.6709 Å, c = 4.6709 Å
α = 90.00°, β = 90.00°, γ = 90.00°
Fractional coordinates of all 5 atoms:
Cu  0.0000  0.0000  0.0000
Ta  0.5000  0.0000  0.0000
In  0.5000  0.5000  0.5000
Ta  0.0000  0.0000  0.5000
Ta  0.0000  0.5000  0.0000

Final energy: -0.2753 Ha/atom
Distance to the lowest polymorph of the same formula: 0.000 eV/atom



Entry 7:
Entry from Alexandria via LeMat-Bulk: KCa2Ag after structural relaxation (GGA-PBE).

a = 4.0697 Å, b = 4.0697 Å, c = 9.5004 Å
α = 90.00°, β = 90.00°, γ = 90.00°
Fractional coordinates of all 4 atoms:
K  0.0000  0.0000  0.5458
Ca  0.5000  0.5000  0.1976
Ca  0.0000  0.0000  0.9388
Ag  0.5000  0.5000  0.8178

Final energy: -0.0740 Ha/atom
Distance to the lowest polymorph of the same formula: 0.058 eV/atom



Entry 8:
Entry from Alexandria via LeMat-Bulk: LiZn2Te after structural relaxation (GGA-PBE).

a = 3.1312 Å, b = 3.1312 Å, c = 8.6839 Å
α = 90.00°, β = 90.00°, γ = 90.00°
Fractional coordinates of all 4 atoms:
Zn  0.5000  0.5000  0.2459
Zn  0.0000  0.0000  0.0843
Te  0.5000  0.5000  0.7049
Li  0.0000  0.0000  0.4649

Energy relative to the elements, uncorrected: -0.060 eV per atom
Final energy: -0.0720 Ha/atom



Number 1: ρ 10.863 g/cm³. Number 2: ρ 8.065 g/cm³. Number 3: ρ 10.101 g/cm³. Number 4: ρ 5.458 g/cm³. Number 5: ρ 5.193 g/cm³. Number 6: ρ 11.752 g/cm³. Number 7: ρ 2.397 g/cm³. Number 8: ρ 5.176 g/cm³.